# 1
A plane-wave DFT calculation with GGA-PBE was carried out for a relaxed MnBiBr6 crystal.

Structure (POSCAR):
```
MnBiBr6
1.0
-1.067 6.716 -0.472
-1.855 3.555 5.511
4.980 4.466 3.013
Mn Bi Br
1 1 6
Direct
0.000 0.000 0.000 Mn
0.500 0.500 0.500 Bi
0.070 0.393 0.765 Br
0.773 0.070 0.765 Br
0.607 0.227 0.235 Br
0.227 0.930 0.235 Br
0.930 0.607 0.235 Br
0.393 0.773 0.765 Br
```

Calculated values
Relative energy among the computed polymorphs   38 meV per atom
Symmetry   R-3 (148)
Energy relative to the elements, uncorrected   -0.601 eV per atom

# 2
A plane-wave DFT calculation with GGA-PBE was carried out for a relaxed MnBiBr2 crystal.

Structure (POSCAR):
```
MnBiBr2
1.0
8.006 7.199 2.587
9.093 4.478 4.456
9.950 4.733 1.098
Mn Bi Br
1 1 2
Direct
0.500 0.500 0.500 Mn
0.000 0.000 0.000 Bi
0.877 0.877 0.877 Br
0.123 0.123 0.123 Br
```

Calculated values
Relative energy among the computed polymorphs   0 meV per atom
Symmetry   R-3m (166)
Energy relative to the elements, uncorrected   0.118 eV per atom

# 3
A plane-wave DFT calculation with GGA-PBE was carried out for a relaxed MnBi2Br2 crystal.

Structure (POSCAR):
```
MnBi2Br2
1.0
-0.184 4.128 -0.470
-4.149 -0.206 -0.183
-2.719 3.208 10.833
Mn Bi Br
1 2 2
Direct
0.000 0.000 0.000 Mn
0.750 0.250 0.500 Bi
0.250 0.750 0.500 Bi
0.427 0.427 0.145 Br
0.573 0.573 0.855 Br
```

Calculated values
Relative energy among the computed polymorphs   0 meV per atom
Symmetry   I4/mmm (139)
Energy relative to the elements, uncorrected   0.325 eV per atom

# 4
A plane-wave DFT calculation with GGA-PBE was carried out for a relaxed MnBiBr6 crystal.

Structure (POSCAR):
```
MnBiBr6
1.0
-4.512 -4.062 -3.515
0.129 -2.918 7.873
-7.405 0.839 3.869
Mn Bi Br
1 1 6
Direct
0.000 0.000 0.000 Mn
0.500 0.000 0.000 Bi
0.129 0.741 0.000 Br
0.389 0.259 0.741 Br
0.871 0.259 0.000 Br
0.871 0.000 0.741 Br
0.611 0.741 0.259 Br
0.129 0.000 0.259 Br
```

Calculated values
Relative energy among the computed polymorphs   0 meV per atom
Symmetry   R-3m (166)
Energy relative to the elements, uncorrected   -0.639 eV per atom

# 5
A plane-wave DFT calculation with GGA-PBE was carried out for a relaxed MnBi2Br8 crystal.

Structure (POSCAR):
```
MnBi2Br8
1.0
3.814 0.000 -0.810
-0.028 10.392 -0.132
0.193 0.565 10.291
Mn Bi Br
1 2 8
Direct
0.500 0.000 0.000 Mn
0.149 0.742 0.298 Bi
0.851 0.258 0.702 Bi
0.597 0.567 0.194 Br
0.366 0.034 0.732 Br
0.243 0.295 0.485 Br
0.997 0.823 0.994 Br
0.757 0.705 0.515 Br
0.634 0.966 0.268 Br
0.403 0.433 0.806 Br
0.003 0.177 0.006 Br
```

Calculated values
Symmetry   C2/m (12)
Energy relative to the elements, uncorrected   -0.709 eV per atom

# 6
A plane-wave DFT calculation with GGA-PBE was carried out for a relaxed MnBiBr2 crystal.

Structure (POSCAR):
```
MnBiBr2
1.0
0.000 3.709 3.709
3.709 0.000 3.709
3.709 3.709 0.000
Mn Bi Br
1 1 2
Direct
0.000 0.000 0.000 Mn
0.500 0.500 0.500 Bi
0.250 0.250 0.250 Br
0.750 0.750 0.750 Br
```

Calculated values
Relative energy among the computed polymorphs   191 meV per atom
Symmetry   Fm-3m (225)
Energy relative to the elements, uncorrected   0.308 eV per atom

# 7
A plane-wave DFT calculation with GGA-PBE was carried out for a relaxed Na2MnBiBr crystal.

Structure (POSCAR):
```
Na2MnBiBr
1.0
-0.636 -4.959 -1.399
2.282 -1.866 5.579
-4.799 0.056 1.982
Na Mn Bi Br
2 1 1 1
Direct
0.000 0.000 0.500 Na
0.500 0.000 0.000 Na
0.500 0.500 0.500 Mn
0.000 0.500 0.000 Bi
0.000 0.000 0.000 Br
```

Calculated values
Symmetry   P4/mmm (123)
Energy relative to the elements, uncorrected   0.208 eV per atom

# 8
A plane-wave DFT calculation with GGA-PBE was carried out for a relaxed NaMnBiBr6 crystal.

Structure (POSCAR):
```
NaMnBiBr6
1.0
-6.764 2.113 0.934
2.284 -6.088 2.967
3.610 6.704 10.978
Na Mn Bi Br
2 2 2 12
Direct
0.000 0.000 0.000 Na
0.000 0.000 0.500 Na
0.667 0.333 0.250 Mn
0.333 0.667 0.750 Mn
0.333 0.667 0.250 Bi
0.667 0.333 0.750 Bi
0.654 0.634 0.132 Br
0.980 0.346 0.132 Br
0.346 0.980 0.632 Br
0.020 0.654 0.868 Br
0.366 0.346 0.368 Br
0.980 0.634 0.368 Br
0.634 0.980 0.868 Br
0.654 0.020 0.368 Br
0.020 0.366 0.632 Br
0.366 0.020 0.132 Br
0.634 0.654 0.632 Br
0.346 0.366 0.868 Br
```

Calculated values
Symmetry   P-31c (163)
Energy relative to the elements, uncorrected   -0.929 eV per atom

# 9
A plane-wave DFT calculation with GGA-PBE was carried out for a relaxed MnNbBiBr2 crystal.

Structure (POSCAR):
```
MnNbBiBr2
1.0
4.779 0.000 0.000
0.000 4.779 0.000
0.000 0.000 5.696
Nb Mn Bi Br
1 1 1 2
Direct
0.000 0.000 0.500 Nb
0.000 0.000 0.000 Mn
0.500 0.500 0.500 Bi
0.000 0.500 0.000 Br
0.500 0.000 0.000 Br
```

Calculated values
Symmetry   P4/mmm (123)
Energy relative to the elements, uncorrected   0.574 eV per atom